Entry from the Alexandria database: HoMg3Tl2F12 after structural relaxation (PBE).

Structure (POSCAR):
```
HoMg3Tl2F12
1.0
3.716 2.146 5.117
-3.716 2.146 5.117
0.000 -4.291 5.117
Ho Mg Tl F
1 3 2 12
Direct
0.000 0.000 0.000 Ho
0.000 0.000 0.500 Mg
0.000 0.500 0.000 Mg
0.500 0.000 0.000 Mg
0.394 0.394 0.394 Tl
0.606 0.606 0.606 Tl
0.102 0.749 0.749 F
0.150 0.150 0.586 F
0.150 0.586 0.150 F
0.251 0.251 0.898 F
0.251 0.898 0.251 F
0.414 0.850 0.850 F
0.586 0.150 0.150 F
0.749 0.102 0.749 F
0.749 0.749 0.102 F
0.850 0.414 0.850 F
0.850 0.850 0.414 F
0.898 0.251 0.251 F
```

Values from the calculation:
Space group   R-3m, No. 166
E_form (uncorrected)   -3.08 eV/atom
Magnetization   0.502 μB per formula unit
V   245 Å³/cell